<i>
! Ba2AcO4 (PBE, relaxed); values from VASP
! space group: Pbam
! N(E_F): 0.733 states/eV per atom
&SYSTEM
  ibrav = 0, nat = 14, ntyp = 3
/
ATOMIC_SPECIES
Ba 137.33 Ba.upf
Ac 227.00 Ac.upf
O 16.00 O.upf
CELL_PARAMETERS angstrom
3.9356 0.0000 0.0000
0.0000 6.6391 0.0000
0.0000 0.0000 11.2109
ATOMIC_POSITIONS angstrom
Ba 1.9678 6.2529 9.2442
Ba 1.9678 0.3862 1.9667
Ba 1.9678 2.9334 7.5722
Ba 1.9678 3.7057 3.6388
Ac 0.0000 0.0000 5.6055
Ac 0.0000 3.3195 0.0000
O 0.0000 4.2962 9.0028
O 0.0000 2.3429 2.2082
O 0.0000 0.9766 7.8136
O 0.0000 5.6625 3.3973
O 1.9678 5.0972 6.0623
O 1.9678 1.5419 5.1486
O 1.9678 4.8614 0.4568
O 1.9678 1.7777 10.7541

***

<ii>
! Ba2AcO4 (PBE, relaxed); values from VASP
! space group: I4/mmm
! N(E_F): 0.589 states/eV per atom
&SYSTEM
  ibrav = 0, nat = 7, ntyp = 3
/
ATOMIC_SPECIES
Ac 227.00 Ac.upf
Ba 137.33 Ba.upf
O 16.00 O.upf
CELL_PARAMETERS angstrom
-3.6124 1.8257 -2.3849
-2.8030 -0.7093 3.7027
4.8042 5.7607 1.7601
ATOMIC_POSITIONS angstrom
Ac 0.0000 0.0000 0.0000
Ba -2.7374 2.4195 1.3715
Ba 1.1262 4.4575 1.7065
O -2.1736 4.6512 2.2258
O 0.5624 2.2259 0.8521
O -1.4015 -0.3546 1.8514
O -1.8062 0.9128 -1.1925

***

The least stable of them is <ii>.

***

<i>
! Ba3AcO4 (PBE, relaxed); values from VASP
! space group: Cmmm
! N(E_F): 0.362 states/eV per atom
&SYSTEM
  ibrav = 0, nat = 8, ntyp = 3
/
ATOMIC_SPECIES
Ac 227.00 Ac.upf
Ba 137.33 Ba.upf
O 16.00 O.upf
CELL_PARAMETERS angstrom
3.9113 0.0000 0.0000
0.0000 6.4309 -2.1974
0.0000 -0.0578 6.7957
ATOMIC_POSITIONS angstrom
Ac 1.9556 0.0000 0.0000
Ba 0.0000 -0.0289 3.3978
Ba 1.9556 3.1865 2.2991
Ba 0.0000 3.2154 -1.0987
O 0.0000 1.4211 1.0254
O 1.9556 4.9212 -0.1051
O 0.0000 4.9519 3.5729
O 1.9556 1.4518 4.7034

***

<ii>
! Ba3AcO4 (PBE, relaxed); values from VASP
! space group: Pm-3m
! N(E_F): 0.211 states/eV per atom
&SYSTEM
  ibrav = 0, nat = 8, ntyp = 3
/
ATOMIC_SPECIES
Ba 137.33 Ba.upf
Ac 227.00 Ac.upf
O 16.00 O.upf
CELL_PARAMETERS angstrom
5.5271 0.0000 0.0000
0.0000 5.5271 0.0000
0.0000 0.0000 5.5271
ATOMIC_POSITIONS angstrom
Ba 0.0000 2.7635 2.7635
Ba 2.7635 0.0000 2.7635
Ba 2.7635 2.7635 0.0000
Ac 0.0000 0.0000 0.0000
O 2.7635 0.0000 0.0000
O 0.0000 2.7635 0.0000
O 0.0000 0.0000 2.7635
O 2.7635 2.7635 2.7635

***

The least stable of them is <ii>.

***

<i>
! BaAcP2 (PBE, relaxed); values from VASP
! space group: R-3m
! N(E_F): 1.420 states/eV per atom
&SYSTEM
  ibrav = 0, nat = 4, ntyp = 3
/
ATOMIC_SPECIES
P 30.97 P.upf
Ac 227.00 Ac.upf
Ba 137.33 Ba.upf
CELL_PARAMETERS angstrom
4.5332 0.0000 0.0000
2.2666 3.9258 0.0000
2.2666 1.3086 7.4896
ATOMIC_POSITIONS angstrom
P 2.2666 1.3086 1.7045
P 6.7997 3.9258 5.7851
Ac 0.0000 0.0000 0.0000
Ba 4.5332 2.6172 3.7448

***

<ii>
! BaAcP2 (PBE, relaxed); values from VASP
! space group: P4/mmm
! N(E_F): 0.752 states/eV per atom
&SYSTEM
  ibrav = 0, nat = 4, ntyp = 3
/
ATOMIC_SPECIES
P 30.97 P.upf
Ac 227.00 Ac.upf
Ba 137.33 Ba.upf
CELL_PARAMETERS angstrom
-2.3853 1.9780 1.9201
1.2847 -2.8900 4.5733
4.0037 3.6691 1.1939
ATOMIC_POSITIONS angstrom
P 2.0019 1.8346 0.5969
P 0.6424 -1.4450 2.2866
Ac -1.1926 0.9890 0.9600
Ba 1.4516 1.3786 3.8436

***

<iii>
! BaAcP2 (PBE, relaxed); values from VASP
! space group: R3m
! N(E_F): 1.480 states/eV per atom
&SYSTEM
  ibrav = 0, nat = 4, ntyp = 3
/
ATOMIC_SPECIES
Ba 137.33 Ba.upf
Ac 227.00 Ac.upf
P 30.97 P.upf
CELL_PARAMETERS angstrom
4.4533 0.0000 0.0000
2.2266 3.8567 0.0000
2.2266 1.2856 7.7861
ATOMIC_POSITIONS angstrom
Ba 4.4533 2.5711 3.9613
Ac 6.6799 3.8567 7.7376
P 2.2266 1.2856 6.0086
P 2.2266 1.2856 1.7579

***

The least stable of them is <ii>.